Entry 1:
Sm2HoTlC | GGA-PBE | relaxed

Cell lengths 5.0625, 5.0625, 4.8994 Å; angles 90.00, 90.00, 90.00 degrees
Space group P4/mmm (No. 123)
Inequivalent atoms, fractional coordinates:
1 Sm 0.0000 0.5000 0.0000 [2 per cell]
2 Ho 0.0000 0.0000 0.5000 [1 per cell]
3 Tl 0.5000 0.5000 0.5000 [1 per cell]
4 C 0.0000 0.0000 0.0000 [1 per cell]

Properties
E_form in eV per atom: -0.38

---

Entry 2:
SrCdMo | GGA-PBE | relaxed

Cell lengths 7.1880, 7.1880, 7.1880 Å; angles 90.00, 90.00, 90.00 degrees
Space group F-43m (No. 216)
Inequivalent atoms, fractional coordinates:
1 Sr 0.0000 0.0000 0.0000 [4 per cell]
2 Cd 0.0000 0.0000 0.5000 [4 per cell]
3 Mo 0.2500 0.2500 0.7500 [4 per cell]

Properties
E_form in eV per atom: 1.07
Distance to the lowest polymorph of the same formula in eV per formula unit: 2.33

---

Entry 3:
Ca6AlGa | GGA-PBE | relaxed

Cell lengths 5.3300, 5.3300, 18.8400 Å; angles 90.00, 90.00, 90.00 degrees
Space group I4/mmm (No. 139)
Inequivalent atoms, fractional coordinates:
1 Ca 0.0000 0.0000 0.2489 [4 per cell]
2 Ca 0.0000 0.5000 0.0953 [8 per cell]
3 Al 0.0000 0.0000 0.0000 [2 per cell]
4 Ga 0.0000 0.0000 0.5000 [2 per cell]

Properties
E_form in eV per atom: -0.16

---

Entry 4:
CsTmCuF6 | GGA-PBE | relaxed

Cell lengths 7.5593, 8.0189, 10.9926 Å; angles 90.00, 90.00, 90.00 degrees
Space group Imma (No. 74)
Inequivalent atoms, fractional coordinates:
1 Cs 0.0000 0.2500 0.0820 [4 per cell]
2 Tm 0.0000 0.0000 0.5000 [4 per cell]
3 Cu 0.2500 0.2500 0.7500 [4 per cell]
4 F 0.0000 0.2500 0.4234 [4 per cell]
5 F 0.0000 0.2500 0.7953 [4 per cell]
6 F 0.2117 0.0651 0.6191 [16 per cell]

Properties
E_form (uncorrected) in eV per atom: -2.984

---

Entry 5:
Li3YHg4 | GGA-PBE | relaxed

Cell lengths 4.8497, 4.8497, 24.4352 Å; angles 90.00, 90.00, 120.00 degrees
Space group R-3m (No. 166, hexagonal axes)
Inequivalent atoms, fractional coordinates:
1 Li 0.0000 0.0000 0.0000 [3 per cell]
2 Li 0.0000 0.0000 0.2538 [6 per cell]
3 Y 0.0000 0.0000 0.5000 [3 per cell]
4 Hg 0.0000 0.0000 0.1148 [6 per cell]
5 Hg 0.0000 0.0000 0.3719 [6 per cell]

Properties
E_form in eV per atom: -0.38

---

Entry 6:
LaNd2Bi2 | GGA-PBE | relaxed

Cell lengths 6.5930, 6.6174, 8.4651 Å; angles 90.00, 112.81, 90.00 degrees
Space group C2/m (No. 12)
Inequivalent atoms, fractional coordinates:
1 La 0.0000 0.0000 0.0000 [2 per cell]
2 Nd 0.0000 0.2496 0.5000 [4 per cell]
3 Bi 0.1019 0.5000 0.2029 [4 per cell]

Properties
E_form in eV per atom: -0.57

---

Entry 7:
Er2RuO | GGA-PBE | relaxed

Cell lengths 3.1744, 3.1744, 6.6666 Å; angles 90.00, 90.00, 90.00 degrees
Space group P4/mmm (No. 123)
Inequivalent atoms, fractional coordinates:
1 Er 0.0000 0.0000 0.2383 [2 per cell]
2 Ru 0.5000 0.5000 0.5000 [1 per cell]
3 O 0.5000 0.5000 0.0000 [1 per cell]

Properties
E_form (uncorrected) in eV per atom: -1.233
Distance to the lowest polymorph of the same formula in eV per formula unit: 0.00

---

Entry 8:
CaLa2Ni6 | GGA-PBE | relaxed

Cell lengths 6.9760, 6.9760, 4.0572 Å; angles 90.00, 90.00, 120.00 degrees
Space group P6/mmm (No. 191)
Inequivalent atoms, fractional coordinates:
1 Ca 0.0000 0.0000 0.0000 [1 per cell]
2 La 0.3333 0.6667 0.0000 [2 per cell]
3 Ni 0.0000 0.3335 0.5000 [6 per cell]

Properties
E_form in eV per atom: -0.26

---

Entry 9:
Na2NiAg2Cl6 | GGA-PBE | relaxed

Cell lengths 6.9204, 11.7936, 6.8470 Å; angles 90.00, 99.17, 90.00 degrees
Space group C2/m (No. 12)
Inequivalent atoms, fractional coordinates:
1 Na 0.0000 0.1640 0.0000 [4 per cell]
2 Ni 0.0000 0.5000 0.0000 [2 per cell]
3 Ag 0.0000 0.3682 0.5000 [4 per cell]
4 Cl 0.1746 0.3512 0.2117 [8 per cell]
5 Cl 0.2468 0.0000 0.2009 [4 per cell]

Properties
E_form (uncorrected) in eV per atom: -0.946

---

Entry 10:
Hf4ReGe2 | GGA-PBE | relaxed

Cell lengths 4.8887, 4.8887, 14.2331 Å; angles 90.00, 90.00, 90.00 degrees
Space group I4/mmm (No. 139)
Inequivalent atoms, fractional coordinates:
1 Hf 0.0000 0.0000 0.1807 [4 per cell]
2 Hf 0.0000 0.5000 0.0000 [4 per cell]
3 Re 0.0000 0.0000 0.0000 [2 per cell]
4 Ge 0.0000 0.0000 0.3695 [4 per cell]

Properties
E_form in eV per atom: 0.42
Distance to the lowest polymorph of the same formula in eV per formula unit: 4.27

---

Entry 11:
MnCuCl2 | GGA-PBE | relaxed

Cell lengths 4.4864, 3.6050, 5.2942 Å; angles 90.00, 92.47, 90.00 degrees
Space group P2/m (No. 10)
Inequivalent atoms, fractional coordinates:
1 Mn 0.0000 0.0000 0.0000 [1 per cell]
2 Cu 0.0000 0.0000 0.5000 [1 per cell]
3 Cl 0.2536 0.5000 0.2440 [2 per cell]

Properties
E_form (uncorrected) in eV per atom: -0.144
Distance to the lowest polymorph of the same formula in eV per formula unit: 0.88

---

Entry 12:
Ba2SrAgH | GGA-PBE | relaxed

Cell lengths 5.7884, 5.7884, 5.1498 Å; angles 90.00, 90.00, 90.00 degrees
Space group P4/mmm (No. 123)
Inequivalent atoms, fractional coordinates:
1 Ba 0.0000 0.5000 0.0000 [2 per cell]
2 Sr 0.0000 0.0000 0.5000 [1 per cell]
3 Ag 0.5000 0.5000 0.5000 [1 per cell]
4 H 0.0000 0.0000 0.0000 [1 per cell]

Properties
Calculated total energy in eV per cell: -12.4

---

Entry 13:
CaIrPt | GGA-PBE | relaxed

Cell lengths 4.5570, 4.5570, 3.1299 Å; angles 90.00, 90.00, 120.00 degrees
Space group P-6m2 (No. 187)
Inequivalent atoms, fractional coordinates:
1 Ca 0.0000 0.0000 0.0000 [1 per cell]
2 Ir 0.3333 0.6667 0.5000 [1 per cell]
3 Pt 0.6667 0.3333 0.5000 [1 per cell]

Properties
E_form in eV per atom: -0.27
Distance to the lowest polymorph of the same formula in eV per formula unit: 1.29

---

Entry 14:
NaIn3Sn | GGA-PBE | relaxed

Cell lengths 5.4687, 5.4687, 5.4687 Å; angles 90.00, 90.00, 90.00 degrees
Space group Pm-3m (No. 221)
Inequivalent atoms, fractional coordinates:
1 Na 0.0000 0.0000 0.0000 [1 per cell]
2 In 0.0000 0.0000 0.5000 [3 per cell]
3 Sn 0.5000 0.5000 0.5000 [1 per cell]

Properties
E_form in eV per atom: 0.50
Distance to the lowest polymorph of the same formula in eV per formula unit: 2.87

---

Entry 15:
LaCdPdAu | GGA-PBE | relaxed

Cell lengths 8.3083, 4.8038, 5.3992 Å; angles 90.00, 120.76, 90.00 degrees
Space group Cm (No. 8)
Inequivalent atoms, fractional coordinates:
1 La 0.0000 0.0000 0.0000 [2 per cell]
2 Cd 0.4908 0.0000 0.4715 [2 per cell]
3 Pd 0.2826 0.5000 0.3464 [2 per cell]
4 Au 0.2234 0.0000 0.6700 [2 per cell]

Properties
E_form in eV per atom: -0.67

---

Entry 16:
CeYMnCu | GGA-PBE | relaxed

Cell lengths 6.9909, 6.9909, 6.9909 Å; angles 90.00, 90.00, 90.00 degrees
Space group F-43m (No. 216)
Inequivalent atoms, fractional coordinates:
1 Ce 0.0000 0.0000 0.0000 [4 per cell]
2 Y 0.0000 0.0000 0.5000 [4 per cell]
3 Mn 0.2500 0.2500 0.2500 [4 per cell]
4 Cu 0.2500 0.2500 0.7500 [4 per cell]

Properties
E_form in eV per atom: 0.07

---

Entry 17:
Na2AsAuF | GGA-PBE | relaxed

Cell lengths 5.7477, 5.7477, 4.5741 Å; angles 90.00, 90.00, 90.00 degrees
Space group P4/mmm (No. 123)
Inequivalent atoms, fractional coordinates:
1 Na 0.0000 0.5000 0.0000 [2 per cell]
2 As 0.0000 0.0000 0.5000 [1 per cell]
3 Au 0.0000 0.0000 0.0000 [1 per cell]
4 F 0.5000 0.5000 0.5000 [1 per cell]

Properties
E_form (uncorrected) in eV per atom: -0.555

---

Entry 18:
HfVPCl2 | GGA-PBE | relaxed

Cell lengths 4.4988, 4.4988, 5.1475 Å; angles 90.00, 90.00, 90.00 degrees
Space group P4/mmm (No. 123)
Inequivalent atoms, fractional coordinates:
1 Hf 0.0000 0.0000 0.0000 [1 per cell]
2 V 0.5000 0.5000 0.5000 [1 per cell]
3 P 0.5000 0.5000 0.0000 [1 per cell]
4 Cl 0.0000 0.5000 0.5000 [2 per cell]

Properties
E_form (uncorrected) in eV per atom: 0.040
Distance to the lowest polymorph of the same formula in eV per formula unit: 0.93

---

Entry 19:
AcPuN3 | GGA-PBE | relaxed

Cell lengths 4.2640, 4.2640, 4.2640 Å; angles 90.00, 90.00, 90.00 degrees
Space group Pm-3m (No. 221)
Inequivalent atoms, fractional coordinates:
1 Ac 0.0000 0.0000 0.0000 [1 per cell]
2 Pu 0.5000 0.5000 0.5000 [1 per cell]
3 N 0.0000 0.5000 0.5000 [3 per cell]

Properties
E_form (uncorrected) in eV per atom: -1.087

---

Entry 20:
AcTbHo | GGA-PBE | relaxed

Cell lengths 3.7284, 3.7284, 15.3688 Å; angles 90.00, 90.00, 90.00 degrees
Space group I4mm (No. 107)
Inequivalent atoms, fractional coordinates:
1 Ac 0.0000 0.0000 0.0000 [2 per cell]
2 Tb 0.0000 0.0000 0.6738 [2 per cell]
3 Ho 0.0000 0.0000 0.3275 [2 per cell]

Properties
E_form in eV per atom: 0.06
Distance to the lowest polymorph of the same formula in eV per formula unit: 0.00